A plane-wave DFT calculation with PBE with a Hubbard U was carried out for a relaxed structure of Li4Fe3Ni3Sn2O16.

Lattice parameters (Å, degrees): 5.8611 5.8997 9.6328 90.35 90.26 119.65
Element x y z (fractional)
1 Li 0.0000 0.0000 0.0000
2 Li 0.0033 0.9875 0.5007
3 Li 0.3312 0.6620 0.9020
4 Li 0.6650 0.3064 0.4041
5 Fe 0.1735 0.8253 0.2222
6 Fe 0.3415 0.1537 0.7211
7 Fe 0.8354 0.6472 0.7199
8 Ni 0.1690 0.3304 0.2207
9 Ni 0.6624 0.8193 0.2213
10 Ni 0.8321 0.1552 0.7218
11 Sn 0.3410 0.6373 0.4974
12 Sn 0.6699 0.3363 0.9990
13 O 0.0102 0.9788 0.8139
14 O 0.0328 0.4926 0.3421
15 O 0.1650 0.8209 0.6103
16 O 0.1731 0.2973 0.6088
17 O 0.3190 0.1619 0.1086
18 O 0.3355 0.6440 0.1185
19 O 0.4661 0.4743 0.3389
20 O 0.4925 0.9448 0.3477
21 O 0.5026 0.0277 0.8489
22 O 0.5156 0.4758 0.8339
23 O 0.6594 0.3263 0.6153
24 O 0.6892 0.8094 0.6050
25 O 0.8372 0.6842 0.1062
26 O 0.8549 0.1714 0.1053
27 O 0.9672 0.4931 0.8454
28 O 0.9990 0.0052 0.3122

Summary:
- space group = No. 1
- total magnetic moment (μB per formula unit) = 12.00
- mass density (g cm⁻³) = 4.96
- raw total energy (eV per atom) = -5.6072
- crystal system = triclinic